Entry one
# AgSe2Br2

An optimized crystal structure of AgSe2Br2 (PBE, Alexandria).

Calculated values
The value obtained for the volume is 29.3 Å³/atom. The crystal system is tetragonal. For the theoretical density, the calculation gives 4.82 g/cm3.

Lattice parameters (Å, degrees): 6.0429 6.0429 8.0370 90.00 90.00 90.00
Positions (direct):
Ag 0.0000 0.0000 0.0000
Ag 0.5000 0.5000 0.5000
Se 0.0000 0.0000 0.3653
Se 0.0000 0.0000 0.6347
Se 0.5000 0.5000 0.1347
Se 0.5000 0.5000 0.8653
Br 0.0000 0.5000 0.2500
Br 0.0000 0.5000 0.7500
Br 0.5000 0.0000 0.2500
Br 0.5000 0.0000 0.7500

Entry two
# AgSe2Br2

An optimized crystal structure of AgSe2Br2 (PBE, Alexandria).

Calculated values
The value obtained for the volume is 26.9 Å³/atom. The crystal system is tetragonal. For the theoretical density, the calculation gives 5.25 g/cm3.

Lattice parameters (Å, degrees): 6.8215 6.8215 5.7803 90.00 90.00 90.00
Positions (direct):
Ag 0.0000 0.0000 0.0000
Ag 0.5000 0.5000 0.0000
Se 0.1161 0.3839 0.0000
Se 0.3839 0.8839 0.0000
Se 0.6161 0.1161 0.0000
Se 0.8839 0.6161 0.0000
Br 0.2438 0.2562 0.5000
Br 0.2562 0.7562 0.5000
Br 0.7438 0.2438 0.5000
Br 0.7562 0.7438 0.5000

Least stable structure: entry one